[1]
A geometry-optimized SrMnRe2 structure. Source: Alexandria via LeMat-Bulk, functional PBE.

Computed properties:
ΔE_f	0.75	eV/atom
energy relative to the lowest polymorph listed for this composition	1.06	eV per formula unit
crystal system	tetragonal

```
SrMnRe2
1.0
2.786 0.000 0.000
0.000 2.786 0.000
0.000 0.000 8.796
Sr Mn Re
1 1 2
Cartesian
0.000 0.000 0.000
0.000 0.000 4.398
1.393 1.393 2.721
1.393 1.393 6.075
```

***

[2]
A geometry-optimized Sr4MnRe structure. Source: Alexandria via LeMat-Bulk, functional PBE.

Computed properties:
ΔE_f	1.55	eV/atom
crystal system	cubic

```
Sr4MnRe
1.0
0.000 4.725 4.725
4.725 0.000 4.725
4.725 4.725 0.000
Sr Mn Re
4 1 1
Cartesian
3.551 3.551 3.551
5.898 5.898 3.551
5.898 3.551 5.898
3.551 5.898 5.898
0.000 0.000 0.000
7.087 7.087 7.087
```

***

Q: Look up the ΔE_f of the second one.
A: 1.55 eV/atom

***

Q: What is the formula in the first record?
A: SrMnRe2

***

Please write out number 2 again, unchanged.
A geometry-optimized Sr4MnRe structure. Source: Alexandria via LeMat-Bulk, functional PBE.

Computed properties:
ΔE_f	1.55	eV/atom
crystal system	cubic

```
Sr4MnRe
1.0
0.000 4.725 4.725
4.725 0.000 4.725
4.725 4.725 0.000
Sr Mn Re
4 1 1
Cartesian
3.551 3.551 3.551
5.898 5.898 3.551
5.898 3.551 5.898
3.551 5.898 5.898
0.000 0.000 0.000
7.087 7.087 7.087
```